1.
Below is YLuRe2 after structural relaxation, with properties calculated at the PBE-GGA level.

a = 6.731 Å, b = 6.731 Å, c = 6.731 Å
α = 90.00°, β = 90.00°, γ = 90.00°
Space group F-43m (No. 216)
Asymmetric unit:
Y (0.000, 0.000, 0.000) x4
Lu (0.250, 0.250, 0.250) x4
Re (0.000, 0.000, 0.500) x4
Re (0.250, 0.250, 0.750) x4

Values from the calculation:
Formation energy in kJ/mol of atoms: 33
Calculated density in g/cm³: 13.9

---

2.
Below is DyHgSO after structural relaxation, with properties calculated at the PBE-GGA level.

a = 5.611 Å, b = 5.616 Å, c = 12.873 Å
α = 90.00°, β = 91.59°, γ = 90.00°
Space group P2_1 (No. 4)
Asymmetric unit:
Dy (0.003, 0.000, 0.083) x2
Dy (0.496, 0.001, 0.916) x2
Hg (0.130, 0.272, 0.497) x2
Hg (0.498, 0.017, 0.266) x2
S (0.203, 0.312, 0.240) x2
S (0.209, 0.222, 0.756) x2
O (0.250, 0.749, 0.000) x2
O (0.253, 0.248, 0.000) x2

Values from the calculation:
Calculated density in g/cm³: 6.7
Calculated total energy in eV per atom: -5.348